DFT (PBE-GGA) results for a relaxed TaTi2Te2 crystal.

Cell and atoms, written as POSCAR:
```
TaTi2Te2
1.0
-3.6687 2.3355 2.8603
0.3418 -3.7999 3.5411
1.1351 1.3104 5.1225
Te Ti Ta
2 2 1
Cartesian
-2.0985 1.4569 5.5917
-0.0933 -1.6108 5.9321
-0.8444 -0.1343 3.7632
-1.3475 -0.0196 7.7607
0.0000 0.0000 0.0000
```

**Polymorph energy (0 for the lowest one)**: 0.324 eV per atom
**Space group**: I4/mmm
**Energy**: -32.0 eV/cell
**Uncorrected formation energy**: 190 kJ/mol of formula units

DFT (PBE-GGA) results for a relaxed SrCu2MoI crystal.

Cell and atoms, written as POSCAR:
```
SrCu2MoI
1.0
-2.7958 0.0670 -4.7762
-4.7453 -2.7592 2.7391
-2.1183 4.9429 1.3093
I Sr Mo Cu
1 1 1 2
Cartesian
-2.3727 -1.3796 1.3695
0.0000 0.0000 0.0000
-4.8297 1.1254 -0.3639
-1.0591 2.4714 0.6547
-1.3979 0.0335 -2.3881
```

**Space group**: P4/mmm
**Energy**: -15.0 eV/cell
**Uncorrected formation energy**: 698 kJ/mol of formula units

DFT (PBE-GGA) results for a relaxed Li2AcZn3 crystal.

Cell and atoms, written as POSCAR:
```
Li2AcZn3
1.0
5.6687 0.0000 0.0000
-2.8344 4.9093 0.0000
0.0000 0.0000 8.6157
Li Ac Zn
4 2 6
Cartesian
2.8344 1.6364 4.3079
0.0000 3.2728 0.0000
0.0000 3.2728 4.3079
2.8344 1.6364 0.0000
0.0000 0.0000 4.3079
0.0000 0.0000 0.0000
2.8379 0.0000 2.1539
-1.4154 2.4516 6.4618
2.8308 0.0000 6.4618
1.4154 2.4516 2.1539
-1.4190 2.4577 2.1539
1.4190 2.4577 6.4618
```

**Energy relative to the elements**: -189 meV per atom
**Polymorph energy (0 for the lowest one)**: 0.004 eV per atom
**Space group**: P6/mmm
**Energy**: -25.8 eV/cell

DFT (PBE-GGA) results for a relaxed NiAs2Ir crystal.

Cell and atoms, written as POSCAR:
```
NiAs2Ir
1.0
-0.2543 -2.9889 -0.4031
3.3844 -0.7497 3.4235
-2.9494 -0.1382 2.8855
As Ir Ni
2 1 1
Cartesian
0.0000 0.0000 0.0000
1.5651 -1.8693 1.5102
-1.6019 -1.5636 1.2412
0.2175 -0.4440 3.1545
```

**Energy relative to the elements**: 331 meV per atom
**Polymorph energy (0 for the lowest one)**: 0.556 eV per atom
**Space group**: Pmmm
**Energy**: -22.6 eV/cell

DFT (PBE-GGA) results for a relaxed Pu6Tl4Cl19 crystal.

Cell and atoms, written as POSCAR:
```
Pu6Tl4Cl19
1.0
0.3836 6.4332 -8.8091
7.7629 -7.6378 -0.7317
-9.7852 -4.8013 0.5755
Pu Tl Cl
6 4 19
Cartesian
-4.1407 -5.6763 -2.8189
2.5020 -0.3296 -6.1465
0.3503 -6.4209 -1.6726
-1.9890 0.4150 -7.2927
3.4001 -4.7430 -4.8224
-5.0388 -1.2629 -4.1429
-6.9926 -3.4311 0.4113
5.5474 -5.4581 -0.5229
-0.4677 -1.7140 -2.5586
0.2742 4.5972 -6.2951
-6.0543 1.0509 -5.3022
-3.3473 0.5810 -2.9314
2.9004 -0.4289 -3.3968
5.2461 -0.7757 -6.1440
-1.3023 -8.0104 -0.1006
-0.7200 -4.4287 -0.0556
0.0000 0.0000 0.0000
-3.6234 -2.9786 -2.4592
-6.9179 -2.4002 -5.8625
1.7316 -2.9899 -6.2097
2.9295 -0.5630 -8.8932
5.5323 -3.6431 -3.3993
-0.0817 0.2781 -5.2882
-4.6310 -5.8294 -0.0770
-1.4942 -5.8975 -3.6723
-2.6877 2.9253 -6.2970
0.7569 -8.8805 -2.9241
1.8121 -4.2375 -2.6094
-3.1587 -1.8191 -6.1002
```

**Space group**: I23
**Energy**: -178.9 eV/cell
**Uncorrected formation energy**: -4661 kJ/mol of formula units

DFT (PBE-GGA) results for a relaxed CdPb2W crystal.

Cell and atoms, written as POSCAR:
```
CdPb2W
1.0
5.3093 0.0000 0.0000
0.0000 3.0300 -0.1611
0.0000 0.3614 5.8409
Pb W Cd
2 1 1
Cartesian
0.0000 0.0748 0.0467
0.0000 1.6209 2.7932
2.6547 0.8479 1.4200
2.6547 2.5436 4.2599
```

**Energy relative to the elements**: 873 meV per atom
**Space group**: P2/m
**Energy**: -17.8 eV/cell

DFT (PBE-GGA) results for a relaxed YHg crystal.

Cell and atoms, written as POSCAR:
```
YHg
1.0
-2.2747 -2.7151 1.0654
2.5011 1.3523 2.3658
-6.4688 6.6185 3.0554
Hg Y
2 2
Cartesian
-0.0476 0.0487 0.0225
-0.6605 1.6025 2.6737
-3.1037 3.1755 1.4660
-4.0732 5.0942 4.2856
```

**Energy relative to the elements**: -176 meV per atom
**Space group**: P-3m1
**Energy**: -14.2 eV/cell

DFT (PBE-GGA) results for a relaxed ZnAs2Os2 crystal.

Cell and atoms, written as POSCAR:
```
ZnAs2Os2
1.0
-6.2495 -3.5273 1.8080
3.1732 -6.4752 -1.6643
0.9292 -0.2466 2.7309
As Os Zn
4 4 2
Cartesian
0.4960 -6.7835 -0.7812
-3.2920 -7.1938 0.4706
-3.5724 -3.2190 0.9249
0.2156 -2.8087 -0.3269
1.5974 -4.8364 0.5545
-0.8770 -7.9273 1.1174
-3.7445 -5.4126 2.3201
-1.2701 -2.3218 1.7572
0.0000 0.0000 0.0000
-1.5382 -5.0012 0.0718
```

**Energy relative to the elements**: 503 meV per atom
**Polymorph energy (0 for the lowest one)**: 0.187 eV per atom
**Space group**: P4/mbm
**Energy**: -61.0 eV/cell

- Which value of energy does entry 8 give?
  -61.0 eV/cell

- Look up the energy of the sixth one.
  -17.8 eV/cell